Entry 1:
# Sr4BiPd PBE optimized geometry
# - Formation energy from the elements: -523.9 meV/atom
data_Sr4BiPd
_symmetry_space_group_name_H-M 'C 1 2/m 1'
_symmetry_Int_Tables_number 12
_symmetry_space_group_name_Hall '-C 2y'
_cell_length_a 7.681
_cell_length_b 7.681
_cell_length_c 8.117
_cell_angle_alpha 90.00
_cell_angle_beta 90.07
_cell_angle_gamma 90.00
loop_
_atom_site_label
_atom_site_fract_x
_atom_site_fract_y
_atom_site_fract_z
_atom_site_occupancy
Sr1 0.250 0.250 0.229 1
Bi1 0.000 0.000 0.500 1
Pd1 0.000 0.500 0.000 1

Entry 2:
# Sr2Bi2Pd5 PBE optimized geometry
# - Formation energy from the elements: -454.1 meV/atom
data_Sr2Bi2Pd5
_symmetry_space_group_name_H-M 'C 1 2/m 1'
_symmetry_Int_Tables_number 12
_symmetry_space_group_name_Hall '-C 2y'
_cell_length_a 13.688
_cell_length_b 5.034
_cell_length_c 7.310
_cell_angle_alpha 90.00
_cell_angle_beta 120.60
_cell_angle_gamma 90.00
loop_
_atom_site_label
_atom_site_fract_x
_atom_site_fract_y
_atom_site_fract_z
_atom_site_occupancy
Sr1 0.146 0.000 0.013 1
Bi1 0.152 0.500 0.420 1
Pd1 0.000 0.500 0.000 1
Pd2 0.084 0.500 0.719 1
Pd3 0.111 0.000 0.540 1

Entry 3:
# Sr2Bi3Pd5 PBE optimized geometry
# - Formation energy from the elements: -528.3 meV/atom
data_Sr2Bi3Pd5
_symmetry_space_group_name_H-M 'C m c 21'
_symmetry_Int_Tables_number 36
_symmetry_space_group_name_Hall 'C 2c -2'
_cell_length_a 4.673
_cell_length_b 26.672
_cell_length_c 7.603
_cell_angle_alpha 90.00
_cell_angle_beta 90.00
_cell_angle_gamma 90.00
loop_
_atom_site_label
_atom_site_fract_x
_atom_site_fract_y
_atom_site_fract_z
_atom_site_occupancy
Sr1 0.000 0.011 0.000 1
Sr2 0.000 0.326 0.095 1
Bi1 0.000 0.121 0.223 1
Bi2 0.000 0.278 0.632 1
Bi3 0.000 0.446 0.200 1
Pd1 0.000 0.105 0.793 1
Pd2 0.000 0.206 0.922 1
Pd3 0.000 0.222 0.332 1
Pd4 0.000 0.377 0.503 1
Pd5 0.000 0.446 0.812 1

Entry 4:
# SrBi8Pd4 PBE optimized geometry
# - Formation energy from the elements: -169.6 meV/atom
data_SrBi8Pd4
_symmetry_space_group_name_H-M 'R -3 m'
_symmetry_Int_Tables_number 166
_symmetry_space_group_name_Hall '-R 3 2"'
_cell_length_a 7.0566
_cell_length_b 7.0566
_cell_length_c 29.1048
_cell_angle_alpha 90.00
_cell_angle_beta 90.00
_cell_angle_gamma 120.00
loop_
_atom_site_label
_atom_site_fract_x
_atom_site_fract_y
_atom_site_fract_z
_atom_site_occupancy
Sr1 0.0000 0.0000 0.0000 1
Bi1 0.0000 0.0000 0.2372 1
Bi2 0.0009 0.5005 0.7648 1
Pd1 0.0000 0.0000 0.5000 1
Pd2 0.0000 0.5000 0.5000 1

Entry 5:
# Sr8BiPd2 PBE optimized geometry
# - Formation energy from the elements: -386.1 meV/atom
data_Sr8BiPd2
_symmetry_space_group_name_H-M 'C 1 m 1'
_symmetry_Int_Tables_number 8
_symmetry_space_group_name_Hall 'C -2y'
_cell_length_a 9.887
_cell_length_b 14.553
_cell_length_c 6.184
_cell_angle_alpha 90.00
_cell_angle_beta 103.56
_cell_angle_gamma 90.00
loop_
_atom_site_label
_atom_site_fract_x
_atom_site_fract_y
_atom_site_fract_z
_atom_site_occupancy
Sr1 0.000 0.000 0.000 1
Sr2 0.077 0.366 0.786 1
Sr3 0.180 0.134 0.613 1
Sr4 0.258 0.500 0.406 1
Sr5 0.378 0.242 0.202 1
Bi1 0.380 0.000 0.226 1
Pd1 0.379 0.313 0.702 1

Entry 6:
# Sr3Bi3Pd2 PBE optimized geometry
# - Formation energy from the elements: -767.6 meV/atom
data_Sr3Bi3Pd2
_symmetry_space_group_name_H-M 'C m c m'
_symmetry_Int_Tables_number 63
_symmetry_space_group_name_Hall '-C 2c 2'
_cell_length_a 4.851
_cell_length_b 11.857
_cell_length_c 16.496
_cell_angle_alpha 90.00
_cell_angle_beta 90.00
_cell_angle_gamma 90.00
loop_
_atom_site_label
_atom_site_fract_x
_atom_site_fract_y
_atom_site_fract_z
_atom_site_occupancy
Sr1 0.000 0.086 0.110 1
Sr2 0.000 0.364 0.250 1
Bi1 0.000 0.337 0.750 1
Bi2 0.000 0.370 0.034 1
Pd1 0.000 0.202 0.604 1

Entry 7:
# Sr2Bi2Pd15 PBE optimized geometry
# - Formation energy from the elements: -272.2 meV/atom
data_Sr2Bi2Pd15
_symmetry_space_group_name_H-M 'R -3 m'
_symmetry_Int_Tables_number 166
_symmetry_space_group_name_Hall '-R 3 2"'
_cell_length_a 9.4478
_cell_length_b 9.4478
_cell_length_c 13.9282
_cell_angle_alpha 90.00
_cell_angle_beta 90.00
_cell_angle_gamma 120.00
loop_
_atom_site_label
_atom_site_fract_x
_atom_site_fract_y
_atom_site_fract_z
_atom_site_occupancy
Sr1 0.0000 0.0000 0.1445 1
Bi1 0.0000 0.0000 0.3918 1
Pd1 0.0000 0.3083 0.5000 1
Pd2 0.0000 0.5000 0.0000 1
Pd3 0.0042 0.5021 0.6552 1

Entry 8:
# SrBi2Pd2 PBE optimized geometry
# - Formation energy from the elements: -591.9 meV/atom
data_SrBi2Pd2
_symmetry_space_group_name_H-M 'P 4/n m m'
_symmetry_Int_Tables_number 129
_cell_length_a 4.878
_cell_length_b 4.878
_cell_length_c 11.028
_cell_angle_alpha 90.00
_cell_angle_beta 90.00
_cell_angle_gamma 90.00
loop_
_symmetry_equiv_pos_as_xyz
'x,y,z'
'-x,-y,-z'
'-y+1/2,x,z'
'y+1/2,-x,-z'
'-x+1/2,-y+1/2,z'
'x+1/2,y+1/2,-z'
'y,-x+1/2,z'
'-y,x+1/2,-z'
'x+1/2,-y,-z'
'-x+1/2,y,z'
'-y,-x,-z'
'y,x,z'
'-x,y+1/2,-z'
'x,-y+1/2,z'
'y+1/2,x+1/2,-z'
'-y+1/2,-x+1/2,z'
loop_
_atom_site_label
_atom_site_fract_x
_atom_site_fract_y
_atom_site_fract_z
_atom_site_occupancy
Sr1 0.250 0.250 0.233 1
Bi1 0.250 0.250 0.876 1
Bi2 0.250 0.750 0.500 1
Pd1 0.250 0.250 0.630 1
Pd2 0.250 0.750 0.000 1

Entry 9:
# Sr2Bi5Pd3 PBE optimized geometry
# - Formation energy from the elements: -532.0 meV/atom
data_Sr2Bi5Pd3
_symmetry_space_group_name_H-M 'C m c 21'
_symmetry_Int_Tables_number 36
_symmetry_space_group_name_Hall 'C 2c -2'
_cell_length_a 4.786
_cell_length_b 28.237
_cell_length_c 7.960
_cell_angle_alpha 90.00
_cell_angle_beta 90.00
_cell_angle_gamma 90.00
loop_
_atom_site_label
_atom_site_fract_x
_atom_site_fract_y
_atom_site_fract_z
_atom_site_occupancy
Sr1 0.000 0.023 0.000 1
Sr2 0.000 0.330 0.974 1
Bi1 0.000 0.097 0.638 1
Bi2 0.000 0.205 0.177 1
Bi3 0.000 0.212 0.761 1
Bi4 0.000 0.379 0.496 1
Bi5 0.000 0.451 0.826 1
Pd1 0.000 0.106 0.263 1
Pd2 0.000 0.272 0.465 1
Pd3 0.000 0.451 0.210 1

Entry 10:
# SrBi6Pd12 PBE optimized geometry
# - Formation energy from the elements: -213.1 meV/atom
data_SrBi6Pd12
_symmetry_space_group_name_H-M 'R -3 m'
_symmetry_Int_Tables_number 166
_symmetry_space_group_name_Hall '-R 3 2"'
_cell_length_a 12.1009
_cell_length_b 12.1009
_cell_length_c 9.8786
_cell_angle_alpha 90.00
_cell_angle_beta 90.00
_cell_angle_gamma 120.00
loop_
_atom_site_label
_atom_site_fract_x
_atom_site_fract_y
_atom_site_fract_z
_atom_site_occupancy
Sr1 0.0000 0.0000 0.0000 1
Bi1 0.0572 0.5286 0.2661 1
Pd1 0.0000 0.3835 0.5000 1
Pd2 0.0807 0.1615 0.2770 1

Entry 11:
# Sr2Bi4Pd3 PBE optimized geometry
# - Formation energy from the elements: -533.7 meV/atom
data_Sr2Bi4Pd3
_symmetry_space_group_name_H-M 'F m m m'
_symmetry_Int_Tables_number 69
_symmetry_space_group_name_Hall '-F 2 2'
_cell_length_a 6.165
_cell_length_b 10.969
_cell_length_c 14.663
_cell_angle_alpha 90.00
_cell_angle_beta 90.00
_cell_angle_gamma 90.00
loop_
_atom_site_label
_atom_site_fract_x
_atom_site_fract_y
_atom_site_fract_z
_atom_site_occupancy
Sr1 0.000 0.000 0.129 1
Bi1 0.000 0.162 0.353 1
Pd1 0.000 0.000 0.500 1
Pd2 0.250 0.250 0.000 1

Entry 12:
# SrBi4Pd2 PBE optimized geometry
# - Formation energy from the elements: -423.2 meV/atom
data_SrBi4Pd2
_symmetry_space_group_name_H-M 'P n m a'
_symmetry_Int_Tables_number 62
_symmetry_space_group_name_Hall '-P 2ac 2n'
_cell_length_a 20.211
_cell_length_b 4.668
_cell_length_c 8.036
_cell_angle_alpha 90.00
_cell_angle_beta 90.00
_cell_angle_gamma 90.00
loop_
_atom_site_label
_atom_site_fract_x
_atom_site_fract_y
_atom_site_fract_z
_atom_site_occupancy
Sr1 0.143 0.250 0.021 1
Bi1 0.029 0.750 0.863 1
Bi2 0.068 0.250 0.488 1
Bi3 0.185 0.750 0.315 1
Bi4 0.193 0.750 0.728 1
Pd1 0.041 0.750 0.256 1
Pd2 0.220 0.250 0.523 1

In the order shown, the computed final energy values come out to -3.16; -4.58; -4.63; -4.29; -2.91; -4.15; -4.96; -4.56; -4.37; -4.81; -4.36; -4.36 eV/atom.